[1]
This record from Alexandria describes crystalline Nd2Al5Pd2Au at its relaxed geometry. The functional is PBE.

abc: 9.9366 9.9366 3.9771
angles: 90.00 90.00 90.00
Closest atoms and distances in Å follow each position.
Positions (direct):
Nd 0.1878 0.3122 0.0000  3 Pd 2.84-3.06
Nd 0.3122 0.8122 0.0000  3 Pd 2.84-3.06
Nd 0.6878 0.1878 0.0000  3 Pd 2.84-3.06
Nd 0.8122 0.6878 0.0000  3 Pd 2.84-3.06
Al 0.0000 0.5000 0.5000  4 Pd 2.52
Al 0.0489 0.7986 0.5000  2 Pd 2.80, 2 Au 2.86, 3 Al 2.91-3.01
Al 0.2014 0.0489 0.5000  2 Pd 2.80, 2 Au 2.86, 3 Al 2.91-3.01
Al 0.2986 0.5489 0.5000  2 Pd 2.80, 2 Au 2.86, 3 Al 2.91-3.01
Al 0.4511 0.2986 0.5000  2 Pd 2.80, 2 Au 2.86, 3 Al 2.91-3.01
Al 0.5000 0.0000 0.5000  4 Pd 2.52
Al 0.5489 0.7014 0.5000  2 Pd 2.80, 2 Au 2.86, 3 Al 2.91-3.01
Al 0.7014 0.4511 0.5000  2 Pd 2.80, 2 Au 2.86, 3 Al 2.91-3.01
Al 0.7986 0.9511 0.5000  2 Pd 2.80, 2 Au 2.86, 3 Al 2.91-3.01
Al 0.9511 0.2014 0.5000  2 Pd 2.80, 2 Au 2.86, 3 Al 2.91-3.01
Pd 0.1102 0.6102 0.0000  6 Al 2.52-2.80
Pd 0.3898 0.1102 0.0000  6 Al 2.52-2.80
Pd 0.6102 0.8898 0.0000  6 Al 2.52-2.80
Pd 0.8898 0.3898 0.0000  6 Al 2.52-2.80
Au 0.0000 0.0000 0.0000  8 Al 2.86
Au 0.5000 0.5000 0.0000  8 Al 2.86

Results
SG: P4/mbm (127)
energy of formation from the pure elements: -0.63 eV/atom

[2]
This record from Alexandria describes crystalline NdAl4PdAu2 at its relaxed geometry. The functional is PBE.

abc: 9.3380 9.3380 9.3380
angles: 27.09 27.09 27.09
Closest atoms and distances in Å follow each position.
Positions (direct):
Nd 0.0000 0.0000 0.0000  6 Al 3.16, 6 Au 3.49
Al 0.1326 0.1326 0.1326  3 Pd 2.69, 3 Au 2.78
Al 0.4038 0.4038 0.4038  3 Au 2.58, 1 Pd 2.60
Al 0.5962 0.5962 0.5962  3 Au 2.58, 1 Pd 2.60
Al 0.8674 0.8674 0.8674  3 Pd 2.69, 3 Au 2.78
Pd 0.5000 0.5000 0.5000  8 Al 2.60-2.69
Au 0.2442 0.2442 0.2442  6 Al 2.58-2.78
Au 0.7558 0.7558 0.7558  6 Al 2.58-2.78

Results
SG: R-3m (166)
energy of formation from the pure elements: -0.60 eV/atom

[3]
This record from Alexandria describes crystalline Nd2Al2Pd5Au at its relaxed geometry. The functional is PBE.

abc: 10.1874 10.1874 3.6297
angles: 90.00 90.00 90.00
Closest atoms and distances in Å follow each position.
Positions (direct):
Nd 0.1800 0.3200 0.0000  3 Al 2.90-3.11, 6 Pd 3.17-3.22
Nd 0.3200 0.8200 0.0000  3 Al 2.90-3.11, 6 Pd 3.17-3.22
Nd 0.6800 0.1800 0.0000  3 Al 2.90-3.11, 6 Pd 3.17-3.22
Nd 0.8200 0.6800 0.0000  3 Al 2.90-3.11, 6 Pd 3.17-3.22
Al 0.1186 0.6186 0.0000  6 Pd 2.49-2.59
Al 0.3814 0.1186 0.0000  6 Pd 2.49-2.59
Al 0.6186 0.8814 0.0000  6 Pd 2.49-2.59
Al 0.8814 0.3814 0.0000  6 Pd 2.49-2.59
Pd 0.0000 0.5000 0.5000  4 Al 2.49
Pd 0.0610 0.7910 0.5000  2 Al 2.59, 2 Au 2.87
Pd 0.2090 0.0610 0.5000  2 Al 2.59, 2 Au 2.87
Pd 0.2910 0.5610 0.5000  2 Al 2.59, 2 Au 2.87
Pd 0.4390 0.2910 0.5000  2 Al 2.59, 2 Au 2.87
Pd 0.5000 0.0000 0.5000  4 Al 2.49
Pd 0.5610 0.7090 0.5000  2 Al 2.59, 2 Au 2.87
Pd 0.7090 0.4390 0.5000  2 Al 2.59, 2 Au 2.87
Pd 0.7910 0.9390 0.5000  2 Al 2.59, 2 Au 2.87
Pd 0.9390 0.2090 0.5000  2 Al 2.59, 2 Au 2.87
Au 0.0000 0.0000 0.0000  8 Pd 2.87
Au 0.5000 0.5000 0.0000  8 Pd 2.87

Results
SG: P4/mbm (127)
energy of formation from the pure elements: -0.67 eV/atom

What Fermi-level density of states values result from the calculations? In sequence: 11.05; 3.22; 13.72 states/eV/cell.